No. 1
Computed, not measured: a geometry-optimized Zn2Cd5Ag5 structure at the GGA-PBE level of DFT.

Cell: 4.2949 6.6124 8.9000 Å, 72.96 76.04 71.05°
Fractional positions:
Zn 0.9151 0.4241 0.7457
Zn 0.0849 0.5759 0.2543
Cd 0.5000 0.5000 0.5000
Cd 0.3335 0.3345 0.9985
Cd 0.4113 0.9220 0.2555
Cd 0.5887 0.0780 0.7445
Cd 0.6665 0.6655 0.0015
Ag 0.8386 0.8256 0.4973
Ag 0.2551 0.7423 0.7474
Ag 0.7449 0.2577 0.2526
Ag 0.1614 0.1744 0.5027
Ag 0.0000 0.0000 0.0000

E ... -1.795 eV per atom
N(E_F) ... 2.68 states/eV/f.u.
Energy relative to the elements ... -14 meV/atom

No. 2
Computed, not measured: a geometry-optimized BaNa2Cd2Bi2 structure at the GGA-PBE level of DFT.

Cell: 5.1348 5.1348 9.9692 Å, 75.08 75.08 60.00°
Fractional positions:
Ba 0.0000 0.0000 0.0000
Na 0.1429 0.1429 0.5714
Na 0.8571 0.8571 0.4286
Cd 0.5520 0.5520 0.3441
Cd 0.4480 0.4480 0.6559
Bi 0.7415 0.7415 0.7754
Bi 0.2585 0.2585 0.2246

E ... -2.463 eV per atom
N(E_F) ... 0.30 states/eV/f.u.
Energy relative to the elements ... -441 meV/atom

No. 3
Computed, not measured: a geometry-optimized Zr3FeHg structure at the GGA-PBE level of DFT.

Cell: 4.8205 4.8205 4.8205 Å, 90.00 90.00 90.00°
Fractional positions:
Hg 0.5000 0.5000 0.5000
Zr 0.0000 0.5000 0.0000
Zr 0.0000 0.0000 0.5000
Zr 0.5000 0.0000 0.0000
Fe 0.0000 0.0000 0.0000

E ... -6.723 eV per atom
N(E_F) ... 8.41 states/eV/f.u.
Energy relative to the elements ... 158 meV/atom
Excess energy over the best structure of this formula in the dataset ... 1.31 eV per formula unit

No. 4
Computed, not measured: a geometry-optimized AlTc structure at the GGA-PBE level of DFT.

Cell: 5.0283 5.0283 4.9664 Å, 90.00 90.00 90.00°
Fractional positions:
Al 0.1961 0.8039 0.0000
Al 0.6961 0.6961 0.5000
Al 0.3039 0.3039 0.5000
Al 0.8039 0.1961 0.0000
Tc 0.3033 0.3033 0.0000
Tc 0.8033 0.1967 0.5000
Tc 0.1967 0.8033 0.5000
Tc 0.6967 0.6967 0.0000

E ... -6.719 eV per atom
N(E_F) ... 1.77 states/eV/f.u.
Energy relative to the elements ... 335 meV/atom
Excess energy over the best structure of this formula in the dataset ... 1.50 eV per formula unit

No. 5
Computed, not measured: a geometry-optimized YNbBr structure at the GGA-PBE level of DFT.

Cell: 11.9078 3.7321 8.2238 Å, 90.00 99.36 90.00°
Fractional positions:
Y 0.8249 0.0000 0.7845
Y 0.8249 0.5000 0.2845
Y 0.2366 0.0000 0.9422
Y 0.2366 0.5000 0.4422
Nb 0.0245 0.0000 0.5019
Nb 0.0245 0.5000 0.0019
Nb 0.0387 0.0000 0.2217
Nb 0.0387 0.5000 0.7217
Br 0.6774 0.0000 0.0603
Br 0.6774 0.5000 0.5603
Br 0.3824 0.0000 0.2815
Br 0.3824 0.5000 0.7815

E ... -6.601 eV per atom
Formation energy without anion corrections ... -0.532 eV per atom
N(E_F) ... 1.23 states/eV/f.u.
Excess energy over the best structure of this formula in the dataset ... 0.35 eV per formula unit

No. 6
Computed, not measured: a geometry-optimized Dy3CdHg3 structure at the GGA-PBE level of DFT.

Cell: 4.8554 3.6049 10.6987 Å, 99.70 103.12 90.00°
Fractional positions:
Dy 0.3016 0.8016 0.6031
Dy 0.6959 0.1959 0.3918
Dy 0.0039 0.0039 0.0078
Cd 0.4307 0.4307 0.8615
Hg 0.1505 0.6505 0.3009
Hg 0.8508 0.3508 0.7017
Hg 0.5666 0.5666 0.1333

E ... -2.607 eV per atom
N(E_F) ... 7.30 states/eV/f.u.
Energy relative to the elements ... -374 meV/atom
Excess energy over the best structure of this formula in the dataset ... 0.00 eV per formula unit

No. 7
Computed, not measured: a geometry-optimized Mg3P structure at the GGA-PBE level of DFT.

Cell: 4.2484 4.2484 4.2484 Å, 90.00 90.00 90.00°
Fractional positions:
Mg 0.0000 0.5000 0.5000
Mg 0.5000 0.0000 0.5000
Mg 0.5000 0.5000 0.0000
P 0.0000 0.0000 0.0000

E ... -2.678 eV per atom
N(E_F) ... 1.44 states/eV/f.u.
Energy relative to the elements ... -129 meV/atom

No. 8
Computed, not measured: a geometry-optimized Sm2Y5Tm structure at the GGA-PBE level of DFT.

Cell: 5.0453 7.1531 14.3071 Å, 90.00 90.00 90.00°
Fractional positions:
Sm 0.5000 0.2487 0.6243
Sm 0.5000 0.7513 0.3757
Sm 0.5000 0.2513 0.1243
Sm 0.5000 0.7487 0.8757
Y 0.0000 0.0000 0.0000
Y 0.0000 0.5000 0.5000
Y 0.0000 0.4992 0.7508
Y 0.0000 0.5008 0.2492
Y 0.0000 0.0008 0.2508
Y 0.0000 0.9992 0.7492
Y 0.5000 0.2499 0.8754
Y 0.5000 0.7501 0.1246
Y 0.5000 0.2501 0.3754
Y 0.5000 0.7499 0.6246
Tm 0.0000 0.0000 0.5000
Tm 0.0000 0.5000 0.0000

E ... -5.757 eV per atom
N(E_F) ... 11.26 states/eV/f.u.
Energy relative to the elements ... 22 meV/atom
Excess energy over the best structure of this formula in the dataset ... 0.00 eV per formula unit